Crystalline Ba3ErMn2O6 at its relaxed geometry, computed with PBE with a Hubbard U.

Results
DFT total energy = -82.25 eV for the cell shown
Density = 5.593 g/cm3

Unit cell a=6.1700 b=6.1700 c=7.0698 alpha=90.00 beta=90.00 gamma=120.00
Fractional positions:
1 Ba 0.0000 0.0000 0.0000
2 Ba 0.3333 0.6667 0.6322
3 Ba 0.6667 0.3333 0.3678
4 Er 0.0000 0.0000 0.5000
5 Mn 0.3333 0.6667 0.1802
6 Mn 0.6667 0.3333 0.8198
7 O 0.1670 0.3340 0.3092
8 O 0.1670 0.8330 0.3092
9 O 0.3340 0.1670 0.6908
10 O 0.6660 0.8330 0.3092
11 O 0.8330 0.1670 0.6908
12 O 0.8330 0.6660 0.6908